Entry 1:
Material: TiPH
Method: DFT, GGA-PBE
State: optimized geometry

```
6
Lattice="-3.171 0.734 0.840 2.124 -2.345 3.487 2.800 3.720 0.742" Properties=species:S:1:pos:R:3 pbc="T T T"
P 0.239 -1.154 3.118
P 0.702 1.866 1.846
Ti 1.016 1.100 4.195
H -0.590 1.623 0.788
H 2.661 3.383 1.561
Ti -1.442 0.382 2.064
```

electronic total energy = -18.59 eV/f.u.
energy above the lowest structure with this stoichiometry = 173.8 meV per atom
space-group type = No. 1


Entry 2:
Material: TiPH
Method: DFT, GGA-PBE
State: optimized geometry

```
3
Lattice="3.342 0.000 0.000 -1.671 2.894 0.000 0.000 0.000 3.303" Properties=species:S:1:pos:R:3 pbc="T T T"
P 0.000 0.000 0.000
Ti 1.671 0.965 1.651
H 0.000 1.929 1.651
```

electronic total energy = -19.11 eV/f.u.
energy above the lowest structure with this stoichiometry = 0.0 meV per atom
space-group type = No. 187


Entry 3:
Material: Ti2PH
Method: DFT, GGA-PBE
State: optimized geometry

```
8
Lattice="3.347 0.000 0.000 0.000 5.491 -1.021 0.000 -0.280 5.578" Properties=species:S:1:pos:R:3 pbc="T T T"
Ti 0.000 0.000 0.000
Ti 0.000 2.746 -0.510
H 0.000 1.599 1.398
Ti 1.673 2.606 2.279
P 1.673 4.275 0.370
P 1.673 0.936 4.187
H 0.000 3.612 3.159
Ti 0.000 -0.140 2.789
```

electronic total energy = -27.38 eV/f.u.
space-group type = No. 65